# 1
Below is crystalline Er6Tl3O at its relaxed geometry, with properties calculated at the PBE level.

Volume ... 514.8 Å³ per cell
Calculated total energy ... -0.17413 Ha/atom
ΔE_f (raw) ... -767 kJ/mol of formula units

Lattice parameters (Å, degrees): 10.2423 10.2423 5.2879 90.00 90.00 111.88
Positions (direct):
Er 0.0871 0.9129 0.5000
Er 0.1015 0.5571 0.5072
Er 0.2344 0.7656 0.0198
Er 0.2486 0.4178 0.0013
Er 0.4178 0.2486 0.5013
Er 0.4429 0.8985 0.5072
Er 0.5571 0.1015 0.0072
Er 0.5822 0.7514 0.0013
Er 0.7514 0.5822 0.5013
Er 0.7656 0.2344 0.5198
Er 0.8985 0.4429 0.0072
Er 0.9129 0.0871 0.0000
Tl 0.0851 0.2415 0.4975
Tl 0.2415 0.0851 0.9975
Tl 0.4228 0.5772 0.4994
Tl 0.5772 0.4228 0.9994
Tl 0.7585 0.9149 0.4975
Tl 0.9149 0.7585 0.9975
O 0.2144 0.7856 0.4632
O 0.7856 0.2144 0.9632

---

# 2
Below is crystalline Er2TlO at its relaxed geometry, with properties calculated at the PBE level.

Volume ... 372.5 Å³ per cell
Calculated total energy ... -0.21131 Ha/atom
ΔE_f (raw) ... -632 kJ/mol of formula units

Lattice parameters (Å, degrees): 7.5124 3.7453 13.2402 90.00 90.00 90.00
Positions (direct):
Er 0.1024 0.2500 0.2217
Er 0.1829 0.2500 0.9577
Er 0.3171 0.7500 0.4577
Er 0.3976 0.7500 0.7217
Er 0.6024 0.2500 0.2783
Er 0.6829 0.2500 0.5423
Er 0.8171 0.7500 0.0423
Er 0.8976 0.7500 0.7783
Tl 0.0926 0.2500 0.6251
Tl 0.4074 0.7500 0.1251
Tl 0.5926 0.2500 0.8749
Tl 0.9074 0.7500 0.3749
O 0.0415 0.7500 0.9201
O 0.4585 0.2500 0.4201
O 0.5415 0.7500 0.5799
O 0.9585 0.2500 0.0799

---

# 3
Below is crystalline Er6Tl2O at its relaxed geometry, with properties calculated at the PBE level.

Volume ... 455.8 Å³ per cell
Calculated total energy ... -0.17922 Ha/atom
ΔE_f (raw) ... -658 kJ/mol of formula units

Lattice parameters (Å, degrees): 6.5518 6.6373 12.3575 90.00 121.98 90.00
Positions (direct):
Er 0.1756 0.1849 0.4858
Er 0.1756 0.3151 0.9858
Er 0.3002 0.5197 0.7518
Er 0.3002 0.9803 0.2518
Er 0.3042 0.6917 0.4877
Er 0.3042 0.8083 0.9877
Er 0.6958 0.1917 0.0123
Er 0.6958 0.3083 0.5123
Er 0.6998 0.0197 0.7482
Er 0.6998 0.4803 0.2482
Er 0.8244 0.6849 0.0142
Er 0.8244 0.8151 0.5142
Tl 0.2087 0.0537 0.7501
Tl 0.2087 0.4463 0.2501
Tl 0.7913 0.5537 0.7499
Tl 0.7913 0.9463 0.2499
O 0.5000 0.0000 0.5000
O 0.5000 0.5000 0.0000

---

# 4
Below is crystalline Er6Tl5O at its relaxed geometry, with properties calculated at the PBE level.

Volume ... 308.9 Å³ per cell
Calculated total energy ... -0.15791 Ha/atom
ΔE_f (raw) ... -714 kJ/mol of formula units

Lattice parameters (Å, degrees): 7.0946 7.0946 6.6793 98.15 98.15 108.69
Positions (direct):
Er 0.0440 0.3324 0.6858
Er 0.1770 0.1770 0.2007
Er 0.3324 0.0440 0.6858
Er 0.6676 0.9560 0.3142
Er 0.8230 0.8230 0.7993
Er 0.9560 0.6676 0.3142
Tl 0.2307 0.7693 0.0000
Tl 0.3698 0.6302 0.5000
Tl 0.5000 0.5000 0.0000
Tl 0.6302 0.3698 0.5000
Tl 0.7693 0.2307 0.0000
O 0.0000 0.0000 0.5000

---

# 5
Below is crystalline Er12Tl6O at its relaxed geometry, with properties calculated at the PBE level.

Volume ... 532.5 Å³ per cell
Calculated total energy ... -0.15844 Ha/atom
ΔE_f (raw) ... -772 kJ/mol of formula units

Lattice parameters (Å, degrees): 8.1306 8.1306 8.1306 94.41 94.41 94.41
Positions (direct):
Er 0.0361 0.9233 0.7095
Er 0.0767 0.2905 0.9639
Er 0.1996 0.4165 0.5322
Er 0.2905 0.9639 0.0767
Er 0.4165 0.5322 0.1996
Er 0.4678 0.8004 0.5835
Er 0.5322 0.1996 0.4165
Er 0.5835 0.4678 0.8004
Er 0.7095 0.0361 0.9233
Er 0.8004 0.5835 0.4678
Er 0.9233 0.7095 0.0361
Er 0.9639 0.0767 0.2905
Tl 0.1436 0.7570 0.3642
Tl 0.2430 0.6358 0.8564
Tl 0.3642 0.1436 0.7570
Tl 0.6358 0.8564 0.2430
Tl 0.7570 0.3642 0.1436
Tl 0.8564 0.2430 0.6358
O 0.0000 0.0000 0.0000

---

# 6
Below is crystalline Er3Tl2O at its relaxed geometry, with properties calculated at the PBE level.

Volume ... 297.0 Å³ per cell
Calculated total energy ... -0.18328 Ha/atom
ΔE_f (raw) ... -631 kJ/mol of formula units

Lattice parameters (Å, degrees): 7.5946 7.5946 6.8436 98.17 98.17 49.62
Positions (direct):
Er 0.0913 0.9087 0.7500
Er 0.2929 0.4682 0.3596
Er 0.4682 0.2929 0.8596
Er 0.5318 0.7071 0.1404
Er 0.7071 0.5318 0.6404
Er 0.9087 0.0913 0.2500
Tl 0.1231 0.2465 0.0380
Tl 0.2465 0.1231 0.5380
Tl 0.7535 0.8769 0.4620
Tl 0.8769 0.7535 0.9620
O 0.4317 0.5683 0.7500
O 0.5683 0.4317 0.2500

---

# 7
Below is crystalline Er2TlO at its relaxed geometry, with properties calculated at the PBE level.

Volume ... 76.4 Å³ per cell
Calculated total energy ... -0.18755 Ha/atom
ΔE_f (raw) ... -382 kJ/mol of formula units

Lattice parameters (Å, degrees): 3.1184 3.1184 7.8585 90.00 90.00 90.00
Positions (direct):
Er 0.0000 0.0000 0.1960
Er 0.0000 0.0000 0.8040
Tl 0.5000 0.5000 0.5000
O 0.5000 0.5000 0.0000

---

# 8
Below is crystalline Er2TlO2 at its relaxed geometry, with properties calculated at the PBE level.

Volume ... 102.3 Å³ per cell
Calculated total energy ... -0.24837 Ha/atom
ΔE_f (raw) ... -1195 kJ/mol of formula units

Lattice parameters (Å, degrees): 7.4978 7.4978 7.4978 150.45 150.45 42.28
Positions (direct):
Er 0.1714 0.1714 0.0000
Er 0.8286 0.8286 0.0000
Tl 0.5000 0.5000 0.0000
O 0.2500 0.7500 0.5000
O 0.7500 0.2500 0.5000

---

# 9
Below is crystalline ErTm2TlO at its relaxed geometry, with properties calculated at the PBE level.

Volume ... 105.0 Å³ per cell
Calculated total energy ... -0.20178 Ha/atom
ΔE_f (raw) ... -639 kJ/mol of formula units

Lattice parameters (Å, degrees): 4.7036 4.7036 4.7441 90.00 90.00 90.00
Positions (direct):
Er 0.0000 0.0000 0.0000
Tm 0.0000 0.5000 0.5000
Tm 0.5000 0.0000 0.5000
Tl 0.5000 0.5000 0.0000
O 0.0000 0.0000 0.5000

---

# 10
Below is crystalline ErTmTlO2 at its relaxed geometry, with properties calculated at the PBE level.

Volume ... 101.5 Å³ per cell
Calculated total energy ... -0.24802 Ha/atom
ΔE_f (raw) ... -1199 kJ/mol of formula units

Lattice parameters (Å, degrees): 7.4816 7.4816 7.4816 150.47 150.47 42.25
Positions (direct):
Er 0.0000 0.0000 0.0000
Tm 0.3433 0.3433 0.0000
Tl 0.6713 0.6713 0.0000
O 0.4207 0.9207 0.5000
O 0.9207 0.4207 0.5000

---

# 11
Below is crystalline ErUTl2O8 at its relaxed geometry, with properties calculated at the PBE level.

Volume ... 183.4 Å³ per cell
Calculated total energy ... -0.25698 Ha/atom
ΔE_f (raw) ... -2283 kJ/mol of formula units

Lattice parameters (Å, degrees): 5.1792 5.1792 6.8411 90.00 90.00 91.55
Positions (direct):
Er 0.0000 0.0000 0.0000
U 0.0000 0.0000 0.5000
Tl 0.5000 0.5000 0.2477
Tl 0.5000 0.5000 0.7523
O 0.1762 0.8238 0.2715
O 0.1762 0.8238 0.7285
O 0.3006 0.3006 0.5000
O 0.3049 0.3049 0.0000
O 0.6951 0.6951 0.0000
O 0.6994 0.6994 0.5000
O 0.8238 0.1762 0.2715
O 0.8238 0.1762 0.7285